No. 1
An optimized crystal structure of Ti2Si2Rh. Source: Alexandria, functional PBE.

a = 6.148 Å, b = 6.148 Å, c = 3.894 Å
α = 90.00°, β = 90.00°, γ = 90.00°
Element x y z (fractional)
Ti 0.164 0.336 0.000
Ti 0.336 0.836 0.000
Ti 0.664 0.164 0.000
Ti 0.836 0.664 0.000
Si 0.138 0.638 0.500
Si 0.362 0.138 0.500
Si 0.638 0.862 0.500
Si 0.862 0.362 0.500
Rh 0.000 0.000 0.500
Rh 0.500 0.500 0.500

Values from the calculation:
- SG: P4/mbm, No. 127

***

No. 2
An optimized crystal structure of TiSiRh2. Source: Alexandria, functional PBE.

a = 3.985 Å, b = 3.985 Å, c = 3.529 Å
α = 90.00°, β = 90.00°, γ = 90.00°
Element x y z (fractional)
Ti 0.000 0.000 0.000
Si 0.500 0.500 0.000
Rh 0.000 0.500 0.500
Rh 0.500 0.000 0.500

Values from the calculation:
- SG: P4/mmm, No. 123

***

For reference, energy relative to the elements, uncorrected by record: -4.47 -3.07 eV/f.u..
For reference, total magnetic moment by record: 0.00 0.00 μB per formula unit.